1.
The following is a PBE calculation of an optimized crystal structure of Cs2HgCl2, from Alexandria.

a = 8.435 Å, b = 8.435 Å, c = 8.435 Å
α = 134.44°, β = 134.44°, γ = 66.39°
Sites, in units of the cell vectors:
Cs 0.189 0.189 0.000
Cs 0.811 0.811 0.000
Hg 0.500 0.500 0.000
Cl 0.250 0.750 0.500
Cl 0.750 0.250 0.500

Values from the calculation:
* mass density: 2.963 g/cm³
* calculated total energy: -12.89 eV per formula unit

2.
The following is a PBE calculation of an optimized crystal structure of Ce4Hg5C, from Alexandria.

a = 8.466 Å, b = 8.466 Å, c = 8.019 Å
α = 102.12°, β = 102.12°, γ = 26.66°
Sites, in units of the cell vectors:
Ce 0.054 0.054 0.340
Ce 0.371 0.371 0.286
Ce 0.629 0.629 0.714
Ce 0.946 0.946 0.660
Hg 0.172 0.172 0.044
Hg 0.283 0.283 0.642
Hg 0.500 0.500 0.000
Hg 0.717 0.717 0.358
Hg 0.828 0.828 0.956
C 0.500 0.500 0.500

Values from the calculation:
* E_form: -2.58 eV/f.u.
* mass density: 10.388 g/cm³

3.
The following is a PBE calculation of an optimized crystal structure of PmHoMgSc, from Alexandria.

a = 3.497 Å, b = 3.497 Å, c = 9.217 Å
α = 90.00°, β = 90.00°, γ = 90.00°
Sites, in units of the cell vectors:
Pm 0.000 0.000 0.000
Ho 0.500 0.500 0.718
Mg 0.500 0.500 0.256
Sc 0.000 0.000 0.470

Values from the calculation:
* E_form: -0.01 eV/f.u.
* mass density: 5.587 g/cm³

4.
The following is a PBE calculation of an optimized crystal structure of CaPmTeO5, from Alexandria.

a = 6.376 Å, b = 6.376 Å, c = 8.450 Å
α = 108.91°, β = 108.91°, γ = 95.44°
Sites, in units of the cell vectors:
Ca 0.188 0.812 0.750
Ca 0.812 0.188 0.250
Pm 0.500 0.500 0.000
Pm 0.500 0.500 0.500
Te 0.161 0.839 0.250
Te 0.839 0.161 0.750
O 0.159 0.201 0.855
O 0.201 0.159 0.355
O 0.216 0.730 0.453
O 0.270 0.784 0.047
O 0.420 0.580 0.750
O 0.580 0.420 0.250
O 0.730 0.216 0.953
O 0.784 0.270 0.547
O 0.799 0.841 0.645
O 0.841 0.799 0.145

Values from the calculation:
* mass density: 4.352 g/cm³
* calculated total energy: -51.76 eV per formula unit

5.
The following is a PBE calculation of an optimized crystal structure of SrMn3I, from Alexandria.

a = 4.994 Å, b = 4.994 Å, c = 4.994 Å
α = 90.00°, β = 90.00°, γ = 90.00°
Sites, in units of the cell vectors:
Sr 0.000 0.000 0.000
Mn 0.000 0.500 0.500
Mn 0.500 0.000 0.500
Mn 0.500 0.500 0.000
I 0.500 0.500 0.500

Values from the calculation:
* mass density: 5.057 g/cm³
* calculated total energy: -25.72 eV per formula unit

6.
The following is a PBE calculation of an optimized crystal structure of BaNi3Bi, from Alexandria.

a = 4.961 Å, b = 4.961 Å, c = 4.961 Å
α = 90.00°, β = 90.00°, γ = 90.00°
Sites, in units of the cell vectors:
Ba 0.000 0.000 0.000
Ni 0.000 0.000 0.500
Ni 0.000 0.500 0.000
Ni 0.500 0.000 0.000
Bi 0.500 0.500 0.500

Values from the calculation:
* E_form: 7.41 eV/f.u.
* mass density: 7.104 g/cm³

7.
The following is a PBE calculation of an optimized crystal structure of ZrGeH2, from Alexandria.

a = 6.826 Å, b = 6.826 Å, c = 6.826 Å
α = 146.36°, β = 146.36°, γ = 48.31°
Sites, in units of the cell vectors:
Zr 0.000 0.000 0.000
Zr 0.750 0.250 0.500
Ge 0.250 0.750 0.500
Ge 0.500 0.500 0.000
H 0.055 0.625 0.930
H 0.375 0.305 0.430
H 0.695 0.125 0.070
H 0.875 0.945 0.570

Values from the calculation:
* mass density: 5.668 g/cm³
* calculated total energy: -20.64 eV per formula unit

8.
The following is a PBE calculation of an optimized crystal structure of CuRh5, from Alexandria.

a = 6.059 Å, b = 6.059 Å, c = 3.806 Å
α = 90.00°, β = 90.00°, γ = 143.12°
Sites, in units of the cell vectors:
Cu 0.000 0.000 0.000
Rh 0.165 0.835 0.500
Rh 0.332 0.668 0.000
Rh 0.500 0.500 0.500
Rh 0.668 0.332 0.000
Rh 0.835 0.165 0.500

Values from the calculation:
* E_form: 0.40 eV/f.u.
* mass density: 11.446 g/cm³